(1)
K4NpIr3Se8 | PBE-GGA | relaxed

Lattice parameters (Å, degrees): 8.7973 8.7973 8.7973 52.89 52.89 52.89
Element x y z (fractional)
K 0.0000 0.0000 0.0000
K 0.0000 0.5000 0.5000
K 0.5000 0.0000 0.5000
K 0.5000 0.5000 0.0000
Np 0.5000 0.5000 0.5000
Ir 0.0000 0.0000 0.5000
Ir 0.0000 0.5000 0.0000
Ir 0.5000 0.0000 0.0000
Se 0.1992 0.7439 0.7439
Se 0.2201 0.2201 0.2201
Se 0.2561 0.2561 0.8008
Se 0.2561 0.8008 0.2561
Se 0.7439 0.1992 0.7439
Se 0.7439 0.7439 0.1992
Se 0.7799 0.7799 0.7799
Se 0.8008 0.2561 0.2561

Calculated values
The uncorrected formation energy is -0.707 eV per atom.

(2)
Al6B5O15F3 | PBE-GGA | relaxed

Lattice parameters (Å, degrees): 8.6489 8.6489 8.2626 90.00 90.00 120.00
Element x y z (fractional)
Al 0.0144 0.3515 0.0749
Al 0.0144 0.3515 0.4251
Al 0.3371 0.9856 0.0749
Al 0.3371 0.9856 0.4251
Al 0.3515 0.3371 0.5749
Al 0.3515 0.3371 0.9251
Al 0.6485 0.6629 0.0749
Al 0.6485 0.6629 0.4251
Al 0.6629 0.0144 0.5749
Al 0.6629 0.0144 0.9251
Al 0.9856 0.6485 0.5749
Al 0.9856 0.6485 0.9251
B 0.0025 0.2328 0.7500
B 0.2303 0.9975 0.7500
B 0.2328 0.2303 0.2500
B 0.3333 0.6667 0.5522
B 0.3333 0.6667 0.9478
B 0.6667 0.3333 0.0522
B 0.6667 0.3333 0.4478
B 0.7672 0.7697 0.7500
B 0.7697 0.0025 0.2500
B 0.9975 0.7672 0.2500
O 0.0880 0.8040 0.1021
O 0.0880 0.8040 0.3979
O 0.1171 0.8145 0.7500
O 0.1506 0.5619 0.5526
O 0.1506 0.5619 0.9474
O 0.1855 0.3025 0.7500
O 0.1960 0.2840 0.1021
O 0.1960 0.2840 0.3979
O 0.2840 0.0880 0.6021
O 0.2840 0.0880 0.8979
O 0.3025 0.1171 0.2500
O 0.4113 0.8494 0.5526
O 0.4113 0.8494 0.9474
O 0.4381 0.5887 0.5526
O 0.4381 0.5887 0.9474
O 0.5619 0.4113 0.0526
O 0.5619 0.4113 0.4474
O 0.5887 0.1506 0.0526
O 0.5887 0.1506 0.4474
O 0.6975 0.8829 0.7500
O 0.7160 0.9120 0.1021
O 0.7160 0.9120 0.3979
O 0.8040 0.7160 0.6021
O 0.8040 0.7160 0.8979
O 0.8145 0.6975 0.2500
O 0.8494 0.4381 0.0526
O 0.8494 0.4381 0.4474
O 0.8829 0.1855 0.2500
O 0.9120 0.1960 0.6021
O 0.9120 0.1960 0.8979
F 0.1107 0.4984 0.2500
F 0.3876 0.8893 0.2500
F 0.4984 0.3876 0.7500
F 0.5016 0.6124 0.2500
F 0.6124 0.1107 0.7500
F 0.8893 0.5016 0.7500

Calculated values
The uncorrected formation energy is -2.868 eV per atom.

(3)
Li3Fe | PBE-GGA | relaxed

Lattice parameters (Å, degrees): 2.6467 2.6467 29.0302 90.00 90.00 120.00
Element x y z (fractional)
Li 0.0000 0.0000 0.0000
Li 0.0000 0.0000 0.2427
Li 0.0000 0.0000 0.7573
Li 0.3333 0.6667 0.4239
Li 0.3333 0.6667 0.6667
Li 0.3333 0.6667 0.9094
Li 0.6667 0.3333 0.0906
Li 0.6667 0.3333 0.3333
Li 0.6667 0.3333 0.5761
Fe 0.0000 0.0000 0.5000
Fe 0.3333 0.6667 0.1667
Fe 0.6667 0.3333 0.8333

Calculated values
For the formation energy, the calculation gives 0.21 eV per atom.

(4)
Ba6AgAu | PBE-GGA | relaxed

Lattice parameters (Å, degrees): 9.0665 9.0665 9.0665 52.83 52.83 52.83
Element x y z (fractional)
Ba 0.0859 0.7460 0.4206
Ba 0.2540 0.5794 0.9141
Ba 0.4206 0.0859 0.7460
Ba 0.5794 0.9141 0.2540
Ba 0.7460 0.4206 0.0859
Ba 0.9141 0.2540 0.5794
Ag 0.0000 0.0000 0.0000
Au 0.5000 0.5000 0.5000

Calculated values
For the formation energy, the calculation gives -0.25 eV per atom.

(5)
BaInRh | PBE-GGA | relaxed

Lattice parameters (Å, degrees): 3.5579 3.5579 12.4115 90.00 90.00 90.00
Element x y z (fractional)
Ba 0.0000 0.0000 0.0000
Ba 0.5000 0.5000 0.5000
In 0.0000 0.0000 0.2801
In 0.5000 0.5000 0.7801
Rh 0.0000 0.0000 0.6843
Rh 0.5000 0.5000 0.1843

Calculated values
For the formation energy, the calculation gives -0.23 eV per atom.

(6)
BaCdHg2 | PBE-GGA | relaxed

Lattice parameters (Å, degrees): 4.2242 4.2670 7.1628 90.00 99.10 90.00
Element x y z (fractional)
Ba 0.0000 0.0000 0.0000
Cd 0.5732 0.5000 0.3126
Hg 0.0362 0.0000 0.4937
Hg 0.4401 0.5000 0.7312

Calculated values
For the formation energy, the calculation gives -0.28 eV per atom.

(7)
Ga2HgBr | PBE-GGA | relaxed

Lattice parameters (Å, degrees): 3.8333 3.8333 24.8902 90.00 90.00 120.00
Element x y z (fractional)
Ga 0.0000 0.0000 0.2492
Ga 0.0000 0.0000 0.7508
Ga 0.3333 0.6667 0.4175
Ga 0.3333 0.6667 0.9159
Ga 0.6667 0.3333 0.0841
Ga 0.6667 0.3333 0.5825
Hg 0.0000 0.0000 0.5000
Hg 0.3333 0.6667 0.1667
Hg 0.6667 0.3333 0.8333
Br 0.0000 0.0000 0.0000
Br 0.3333 0.6667 0.6667
Br 0.6667 0.3333 0.3333

Calculated values
The uncorrected formation energy is -0.127 eV per atom. Its distance to the lowest polymorph of the same formula is 0.0 meV/atom.

(8)
Cr2RuRh | PBE-GGA | relaxed

Lattice parameters (Å, degrees): 2.6542 2.6542 25.5920 90.00 90.00 120.00
Element x y z (fractional)
Cr 0.0000 0.0000 0.2502
Cr 0.0000 0.0000 0.7498
Cr 0.3333 0.6667 0.4164
Cr 0.3333 0.6667 0.9169
Cr 0.6667 0.3333 0.0831
Cr 0.6667 0.3333 0.5836
Ru 0.0000 0.0000 0.5000
Ru 0.3333 0.6667 0.1667
Ru 0.6667 0.3333 0.8333
Rh 0.0000 0.0000 0.0000
Rh 0.3333 0.6667 0.6667
Rh 0.6667 0.3333 0.3333

Calculated values
For the formation energy, the calculation gives 0.10 eV per atom.

(9)
TiNbGa | PBE-GGA | relaxed

Lattice parameters (Å, degrees): 6.8781 3.5206 8.3916 90.00 90.00 90.00
Element x y z (fractional)
Ti 0.1293 0.2500 0.0748
Ti 0.3707 0.7500 0.5748
Ti 0.6293 0.2500 0.4252
Ti 0.8707 0.7500 0.9252
Nb 0.0551 0.2500 0.6648
Nb 0.4449 0.7500 0.1648
Nb 0.5551 0.2500 0.8352
Nb 0.9449 0.7500 0.3352
Ga 0.2442 0.2500 0.3679
Ga 0.2558 0.7500 0.8679
Ga 0.7442 0.2500 0.1321
Ga 0.7558 0.7500 0.6321

Calculated values
Its distance to the lowest polymorph of the same formula is 115.9 meV/atom. For the formation energy, the calculation gives -0.30 eV per atom.

(10)
K3UCd3Se8 | PBE-GGA | relaxed

Lattice parameters (Å, degrees): 8.2377 8.2377 9.1988 116.78 116.78 59.46
Element x y z (fractional)
K 0.0000 0.0000 0.0000
K 0.0000 0.5000 0.0000
K 0.5000 0.0000 0.0000
U 0.0000 0.0000 0.5000
Cd 0.0000 0.5000 0.5000
Cd 0.5000 0.0000 0.5000
Cd 0.5000 0.5000 0.5000
Se 0.2231 0.2231 0.7011
Se 0.2242 0.7567 0.7028
Se 0.2433 0.7758 0.2972
Se 0.2735 0.2735 0.3211
Se 0.7265 0.7265 0.6789
Se 0.7567 0.2242 0.7028
Se 0.7758 0.2433 0.2972
Se 0.7769 0.7769 0.2989

Calculated values
The uncorrected formation energy is -0.823 eV per atom.

(11)
TlZnBi2I | PBE-GGA | relaxed

Lattice parameters (Å, degrees): 6.1158 6.1158 5.3912 90.00 90.00 90.00
Element x y z (fractional)
Tl 0.0000 0.0000 0.0000
Zn 0.5000 0.5000 0.0000
Bi 0.0000 0.5000 0.5000
Bi 0.5000 0.0000 0.5000
I 0.5000 0.5000 0.5000

Calculated values
The uncorrected formation energy is 0.677 eV per atom.

(12)
AlTcSe3 | PBE-GGA | relaxed

Lattice parameters (Å, degrees): 4.8739 4.8739 4.8739 90.00 90.00 90.00
Element x y z (fractional)
Al 0.0000 0.0000 0.0000
Tc 0.5000 0.5000 0.5000
Se 0.0000 0.0000 0.5000
Se 0.0000 0.5000 0.0000
Se 0.5000 0.0000 0.0000

Calculated values
The uncorrected formation energy is 0.606 eV per atom. Its distance to the lowest polymorph of the same formula is 266.1 meV/atom.

Sequential magnetic moment output: 3.8 0.0 2.1 0.0 0.0 0.0 0.0 0.0 0.4 0.0 0.0 4.2 μB/f.u.
Sequential volume output: 25.1 9.2 14.7 54.8 26.2 31.9 26.4 13.0 16.9 30.6 40.3 23.2 Å³ per atom
Sequential electronic total energy output: -5.194 -7.551 -3.345 -2.459 -4.238 -1.144 -2.134 -8.865 -7.299 -3.836 -1.913 -4.307 eV/atom